[1]
Computed, not measured: an optimized crystal structure of Y2AlHg at the PBE level of DFT.

Summary:
Polymorph energy (0 for the lowest one)   193 meV/atom
N(E_F)   2.9 states/eV per cell
DFT formation energy   -0.27 eV/atom
M_tot   0.0 Bohr magnetons per cell

Geometry as POSCAR:
```
Y2AlHg
1.0
5.084 -0.004 -0.002
3.760 3.422 -0.002
1.342 0.519 6.206
Y Hg Al
2 1 1
direct
0.002 0.002 0.992 Y
0.498 0.498 0.508 Y
0.250 0.250 0.250 Hg
0.750 0.750 0.750 Al
```

---

[2]
Computed, not measured: an optimized crystal structure of ThInAs2 at the PBE level of DFT.

Summary:
Polymorph energy (0 for the lowest one)   0 meV/atom
N(E_F)   1.9 states/eV per cell
DFT formation energy   -0.71 eV/atom
M_tot   0.0 Bohr magnetons per cell

Geometry as POSCAR:
```
ThInAs2
1.0
-1.117 0.020 3.691
1.623 -4.569 0.515
4.376 1.703 1.315
As Th In
2 1 1
direct
0.000 0.000 0.500 As
0.000 0.500 0.000 As
0.500 0.000 0.000 Th
0.500 0.500 0.500 In
```

---

[3]
Computed, not measured: an optimized crystal structure of Na3MgSn at the PBE level of DFT.

Summary:
Polymorph energy (0 for the lowest one)   302 meV/atom
N(E_F)   5.6 states/eV per cell
DFT formation energy   0.25 eV/atom
M_tot   0.0 Bohr magnetons per cell

Geometry as POSCAR:
```
Na3MgSn
1.0
-2.755 4.453 2.785
-3.897 -3.841 2.287
3.521 -0.768 4.710
Na Mg Sn
3 1 1
direct
0.000 0.500 0.000 Na
0.000 0.000 0.500 Na
0.500 0.000 0.000 Na
0.500 0.500 0.500 Mg
0.000 0.000 0.000 Sn
```

---

The highest DFT formation energy belongs to which entry? Na3MgSn

---

Among the records above, which one has the lowest DFT formation energy? ThInAs2

---

Which of these has the highest N(E_F)? Na3MgSn